# NdSm2Tm2, optimized geometry, DFT GGA-PBE
data_NdSm2Tm2
_chemical_formula_sum 'Nd4 Sm8 Tm8'
_symmetry_space_group_name_H-M 'C 1 2/c 1'
_symmetry_Int_Tables_number 15
_symmetry_space_group_name_Hall '-C 2yc'
_cell_length_a 9.420
_cell_length_b 13.470
_cell_length_c 6.014
_cell_angle_alpha 90.00
_cell_angle_beta 114.98
_cell_angle_gamma 90.00
loop_
_atom_site_label
_atom_site_type_symbol
_atom_site_fract_x
_atom_site_fract_y
_atom_site_fract_z
_atom_site_occupancy
Nd1 Nd 0.000 0.070 0.250 1
Sm1 Sm 0.184 0.425 0.882 1
Tm1 Tm 0.000 0.201 0.750 1
Tm2 Tm 0.000 0.335 0.250 1
# - distance to the lowest polymorph of the same formula (eV/atom) = 0.000
# - uncorrected energy (eV per atom) = -4.351
# - energy of formation from the pure elements (kJ/mol of formula units) = 134

=====

# Nd2Cd16Hg, optimized geometry, DFT GGA-PBE
data_Nd2Cd16Hg
_chemical_formula_sum 'Nd6 Cd48 Hg3'
_symmetry_space_group_name_H-M 'R 3 m'
_symmetry_Int_Tables_number 160
_symmetry_space_group_name_Hall 'R 3 -2"'
_cell_length_a 10.1216
_cell_length_b 10.1216
_cell_length_c 14.9466
_cell_angle_alpha 90.00
_cell_angle_beta 90.00
_cell_angle_gamma 120.00
loop_
_atom_site_label
_atom_site_type_symbol
_atom_site_fract_x
_atom_site_fract_y
_atom_site_fract_z
_atom_site_occupancy
Nd1 Nd 0.0000 0.0000 0.0000 1
Nd2 Nd 0.0000 0.0000 0.3403 1
Cd1 Cd 0.0000 0.0000 0.7654 1
Cd2 Cd 0.0148 0.5074 0.8175 1
Cd3 Cd 0.0329 0.3657 0.3368 1
Cd4 Cd 0.1701 0.3401 0.5044 1
Cd5 Cd 0.1748 0.3496 0.8554 1
Hg1 Hg 0.0000 0.0000 0.5605 1
# - uncorrected energy (eV per atom) = -1.441
# - energy of formation from the pure elements (kJ/mol of formula units) = -281

=====

> The lowest energy of formation from the pure elements belongs to which entry?

Nd2Cd16Hg

=====

> The lowest energy of formation from the pure elements belongs to which entry?

Nd2Cd16Hg

=====

> Which value of energy of formation from the pure elements does entry 1 give?

134 kJ/mol of formula units

=====

> Look up the uncorrected energy of the second one.

-1.441 eV per atom